A relaxed La2Tb3Tm7 crystal, computed with PBE.

The calculation puts the total magnetization at 0.0000 μB per atom. As for the space group: P2/m (10). The volume comes out at 31.93 Å³/atom. For the polymorph energy (0 for the lowest one), the calculation gives 0 meV per atom. As for the formation energy from the elements: 1.14 eV/f.u.

Cell: 6.321 3.504 17.406 Å, 90.00 96.25 90.00°
Element x y z (fractional)
La  0.057  0.000  0.174
La  0.943  0.000  0.826
Tb  0.455  0.500  0.843
Tb  0.500  0.000  0.500
Tb  0.545  0.500  0.157
Tm  0.000  0.500  0.500
Tm  0.228  0.000  0.664
Tm  0.256  0.000  0.000
Tm  0.277  0.500  0.339
Tm  0.723  0.500  0.661
Tm  0.744  0.000  0.000
Tm  0.772  0.000  0.336